# 1
## Y2Th4Sn3N2 (PBE-GGA)

Data for an optimized crystal structure of Y2Th4Sn3N2.

The formation energy (no corrections) comes out at -878 meV per atom.

The structure belongs to space group I4/mmm (No. 139); the cell edges are 4.809, 4.809 and 25.768 Å and the angles 90.00°, 90.00° and 90.00°. The inequivalent atoms are Y at (0.000, 0.000, 0.196), Th at (0.000, 0.500, 0.085), Sn at (0.000, 0.000, 0.320), Sn at (0.000, 0.000, 0.500) and N at (0.000, 0.000, 0.105).

---

# 2
## Mg3Au (PBE-GGA)

Data for an optimized crystal structure of Mg3Au.

For the relative energy among the computed polymorphs, the calculation gives 47 meV/atom. Its formation energy is -1.5 eV per formula unit.

The structure belongs to space group P6_3/mmc (No. 194); the cell edges are 6.0941, 6.0941 and 4.8253 Å and the angles 90.00°, 90.00° and 120.00°. The inequivalent atoms are Mg at (0.1723, 0.3446, 0.2500) and Au at (0.3333, 0.6667, 0.7500).

---

# 3
## TaBe2Cd (PBE-GGA)

Data for an optimized crystal structure of TaBe2Cd.

Its formation energy is 2.9 eV per formula unit.

The structure belongs to space group I-42d (No. 122); the cell edges are 6.542, 6.542 and 5.618 Å and the angles 90.00°, 90.00° and 90.00°. The inequivalent atoms are Ta at (0.000, 0.000, 0.000), Be at (0.241, 0.750, 0.625) and Cd at (0.000, 0.000, 0.500).

---

# 4
## CsAc4Pd3O12 (PBE-GGA)

Data for an optimized crystal structure of CsAc4Pd3O12.

The formation energy (no corrections) comes out at -1830 meV per atom.

The structure belongs to space group Im-3 (No. 204); the cell edges are 8.871, 8.871 and 8.871 Å and the angles 90.00°, 90.00° and 90.00°. The inequivalent atoms are Cs at (0.000, 0.000, 0.000), Ac at (0.250, 0.250, 0.250), Pd at (0.000, 0.000, 0.500) and O at (0.000, 0.153, 0.336).

---

# 5
## AlGeW (PBE-GGA)

Data for an optimized crystal structure of AlGeW.

For the relative energy among the computed polymorphs, the calculation gives 344 meV/atom. Its formation energy is 0.8 eV per formula unit.

The structure belongs to space group R-3m (No. 166, hexagonal axes); the cell edges are 4.3268, 4.3268 and 19.4727 Å and the angles 90.00°, 90.00° and 120.00°. The inequivalent atoms are Al at (0.0000, 0.0000, 0.1357), Ge at (0.0000, 0.0000, 0.4073) and W at (0.0000, 0.0000, 0.2745).

---

# 6
## RbTeNF2 (PBE-GGA)

Data for an optimized crystal structure of RbTeNF2.

For the relative energy among the computed polymorphs, the calculation gives 1415 meV/atom. The formation energy (no corrections) comes out at 373 meV per atom.

The structure belongs to space group P4/mmm (No. 123); the cell edges are 5.058, 5.058 and 5.332 Å and the angles 90.00°, 90.00° and 90.00°. The inequivalent atoms are Rb at (0.000, 0.000, 0.000), Te at (0.500, 0.500, 0.500), N at (0.000, 0.000, 0.500) and F at (0.000, 0.500, 0.000).

---

# 7
## CsRb2Au (PBE-GGA)

Data for an optimized crystal structure of CsRb2Au.

For the relative energy among the computed polymorphs, the calculation gives 176 meV/atom. Its formation energy is 0.1 eV per formula unit.

The structure belongs to space group Fm-3m (No. 225); the cell edges are 9.385, 9.385 and 9.385 Å and the angles 90.00°, 90.00° and 90.00°. The inequivalent atoms are Cs at (0.000, 0.000, 0.000), Rb at (0.250, 0.250, 0.250) and Au at (0.000, 0.000, 0.500).

---

# 8
## BaAlS3 (PBE-GGA)

Data for an optimized crystal structure of BaAlS3.

For the relative energy among the computed polymorphs, the calculation gives 0 meV/atom. The formation energy (no corrections) comes out at -1196 meV per atom.

The structure belongs to space group Pm-3m (No. 221); the cell edges are 4.803, 4.803 and 4.803 Å and the angles 90.00°, 90.00° and 90.00°. The inequivalent atoms are Ba at (0.000, 0.000, 0.000), Al at (0.500, 0.500, 0.500) and S at (0.000, 0.500, 0.500).

---

# 9
## Ta2CuHIr (PBE-GGA)

Data for an optimized crystal structure of Ta2CuHIr.

For the relative energy among the computed polymorphs, the calculation gives 53 meV/atom.

The structure belongs to space group P4/mmm (No. 123); the cell edges are 4.073, 4.073 and 3.935 Å and the angles 90.00°, 90.00° and 90.00°. The inequivalent atoms are Ta at (0.000, 0.500, 0.000), Cu at (0.000, 0.000, 0.500), H at (0.500, 0.500, 0.000) and Ir at (0.500, 0.500, 0.500).

---

# 10
## MgGa2Ag4 (PBE-GGA)

Data for an optimized crystal structure of MgGa2Ag4.

For the relative energy among the computed polymorphs, the calculation gives 432 meV/atom. Its formation energy is 2.8 eV per formula unit.

The structure belongs to space group I4/mmm (No. 139); the cell edges are 4.971, 4.971 and 13.280 Å and the angles 90.00°, 90.00° and 90.00°. The inequivalent atoms are Mg at (0.000, 0.000, 0.000), Ga at (0.000, 0.000, 0.393), Ag at (0.000, 0.000, 0.202) and Ag at (0.000, 0.500, 0.000).

---

# 11
## Sc4Al2ZnPd (PBE-GGA)

Data for an optimized crystal structure of Sc4Al2ZnPd.

Its formation energy is -4.3 eV per formula unit.

The structure belongs to space group R-3m (No. 166, hexagonal axes); the cell edges are 4.7640, 4.7640 and 23.2991 Å and the angles 90.00°, 90.00° and 120.00°. The inequivalent atoms are Sc at (0.0000, 0.0000, 0.1245), Sc at (0.0000, 0.0000, 0.3746), Al at (0.0000, 0.0000, 0.2493), Zn at (0.0000, 0.0000, 0.5000) and Pd at (0.0000, 0.0000, 0.0000).

---

# 12
## GdSc2Hg (PBE-GGA)

Data for an optimized crystal structure of GdSc2Hg.

For the relative energy among the computed polymorphs, the calculation gives 0 meV/atom. Its formation energy is -0.7 eV per formula unit.

The structure belongs to space group P4/mmm (No. 123); the cell edges are 4.614, 4.614 and 4.579 Å and the angles 90.00°, 90.00° and 90.00°. The inequivalent atoms are Gd at (0.000, 0.000, 0.000), Sc at (0.000, 0.500, 0.500) and Hg at (0.500, 0.500, 0.000).